DFT (GGA+U) results for a relaxed structure of Sr3PuCo2O9.

a b c (Å): 5.5661 5.5661 6.9989
angles (deg): 90.00 90.00 120.00
Element x y z (fractional)
Sr 0.0000 0.0000 0.0000
Sr 0.3333 0.6667 0.7173
Sr 0.6667 0.3333 0.2827
Pu 0.0000 0.0000 0.5000
Co 0.3333 0.6667 0.1608
Co 0.6667 0.3333 0.8392
O 0.0000 0.5000 0.0000
O 0.1712 0.3423 0.3242
O 0.1712 0.8288 0.3242
O 0.3423 0.1712 0.6758
O 0.5000 0.0000 0.0000
O 0.5000 0.5000 0.0000
O 0.6577 0.8288 0.3242
O 0.8288 0.1712 0.6758
O 0.8288 0.6577 0.6758

Output
total magnetic moment = 2.0 μB per cell
VASP energy = -106.10 eV for the cell shown
crystal system = trigonal